(1)
Crystalline SrLiSnIr at its relaxed geometry, computed with GGA-PBE.

a b c (Å): 4.619 4.619 15.774
angles (deg): 90.00 90.00 120.00
Positions (direct):
1 Sr 0.000 0.000 0.000
2 Sr 0.333 0.667 0.667
3 Sr 0.667 0.333 0.333
4 Li 0.000 0.000 0.190
5 Li 0.333 0.667 0.857
6 Li 0.667 0.333 0.524
7 Sn 0.000 0.000 0.478
8 Sn 0.333 0.667 0.145
9 Sn 0.667 0.333 0.812
10 Ir 0.000 0.000 0.803
11 Ir 0.333 0.667 0.470
12 Ir 0.667 0.333 0.137

Calculated formation energy (meV/atom): -438
Energy above the lowest structure with this stoichiometry (meV/atom): 0
Size of the total moment (μB/f.u.): 0.00
Symmetry: R3m (160)

***

(2)
Crystalline Pr5YPb6 at its relaxed geometry, computed with GGA-PBE.

a b c (Å): 7.894 7.894 7.945
angles (deg): 99.42 99.42 118.93
Positions (direct):
1 Pr 0.000 0.000 0.000
2 Pr 0.166 0.834 0.500
3 Pr 0.330 0.670 0.000
4 Pr 0.670 0.330 0.000
5 Pr 0.834 0.166 0.500
6 Y 0.500 0.500 0.500
7 Pb 0.091 0.418 0.255
8 Pb 0.256 0.256 0.750
9 Pb 0.418 0.091 0.255
10 Pb 0.582 0.909 0.745
11 Pb 0.744 0.744 0.250
12 Pb 0.909 0.582 0.745

Calculated formation energy (meV/atom): -413
Energy above the lowest structure with this stoichiometry (meV/atom): 98
Size of the total moment (μB/f.u.): 0.00
Symmetry: C2/m (12)

***

(3)
Crystalline ScInW2 at its relaxed geometry, computed with GGA-PBE.

a b c (Å): 2.978 2.978 29.088
angles (deg): 90.00 90.00 120.00
Positions (direct):
1 Sc 0.000 0.000 0.000
2 Sc 0.333 0.667 0.667
3 Sc 0.667 0.333 0.333
4 In 0.000 0.000 0.500
5 In 0.333 0.667 0.167
6 In 0.667 0.333 0.833
7 W 0.000 0.000 0.250
8 W 0.000 0.000 0.750
9 W 0.333 0.667 0.417
10 W 0.333 0.667 0.916
11 W 0.667 0.333 0.084
12 W 0.667 0.333 0.583

Calculated formation energy (meV/atom): 532
Size of the total moment (μB/f.u.): 0.00
Symmetry: R-3m (166)

***

(4)
Crystalline SrLi2NiH6 at its relaxed geometry, computed with GGA-PBE.

a b c (Å): 4.196 4.196 7.137
angles (deg): 109.07 109.07 63.85
Positions (direct):
1 Sr 0.000 0.000 0.000
2 Li 0.199 0.199 0.623
3 Li 0.801 0.801 0.377
4 Ni 0.500 0.500 0.500
5 H 0.205 0.685 0.623
6 H 0.294 0.294 0.899
7 H 0.315 0.795 0.377
8 H 0.685 0.205 0.623
9 H 0.706 0.706 0.101
10 H 0.795 0.315 0.377

Size of the total moment (μB/f.u.): 0.00
Symmetry: C2/m (12)
VASP energy (eV per atom): -3.460